Record 1
Computed, not measured: a geometry-optimized Zr2BeGe2 structure at the PBE level of DFT.

Unit cell a=6.495 b=6.495 c=4.110 alpha=90.00 beta=90.00 gamma=90.00
Atoms (fractional coordinates):
Zr 0.176 0.324 0.000
Zr 0.324 0.824 0.000
Zr 0.676 0.176 0.000
Zr 0.824 0.676 0.000
Be 0.000 0.000 0.500
Be 0.500 0.500 0.500
Ge 0.137 0.637 0.500
Ge 0.363 0.137 0.500
Ge 0.637 0.863 0.500
Ge 0.863 0.363 0.500

Properties
The total moment comes out at 0.000 μB per atom. Its crystal system is tetragonal. The energy relative to the elements is -0.443 eV/atom. Its symmetry is No. 127. The final energy is -0.474 Ry per atom.

Record 2
Computed, not measured: a geometry-optimized MgAg2Rh2 structure at the PBE level of DFT.

Unit cell a=7.371 b=7.371 c=3.212 alpha=90.00 beta=90.00 gamma=90.00
Atoms (fractional coordinates):
Mg 0.000 0.000 0.000
Mg 0.500 0.500 0.000
Ag 0.152 0.348 0.000
Ag 0.348 0.848 0.000
Ag 0.652 0.152 0.000
Ag 0.848 0.652 0.000
Rh 0.144 0.644 0.500
Rh 0.356 0.144 0.500
Rh 0.644 0.856 0.500
Rh 0.856 0.356 0.500

Properties
The total moment comes out at 0.000 μB per atom. Its crystal system is tetragonal. The energy relative to the elements is 0.268 eV/atom. Its symmetry is No. 127. The final energy is -0.304 Ry per atom.

Record 3
Computed, not measured: a geometry-optimized DyFeRu structure at the PBE level of DFT.

Unit cell a=3.948 b=3.948 c=4.222 alpha=90.00 beta=90.00 gamma=120.00
Atoms (fractional coordinates):
Dy 0.000 0.000 0.000
Fe 0.333 0.667 0.500
Ru 0.667 0.333 0.500

Properties
The total moment comes out at 0.004 μB per atom. Its crystal system is hexagonal. The energy relative to the elements is -0.040 eV/atom. Its symmetry is No. 187. The final energy is -0.550 Ry per atom.

Record 4
Computed, not measured: a geometry-optimized PaNb2Ni9 structure at the PBE level of DFT.

Unit cell a=8.394 b=8.394 c=8.394 alpha=33.30 beta=33.30 gamma=33.30
Atoms (fractional coordinates):
Pa 0.000 0.000 0.000
Nb 0.143 0.143 0.143
Nb 0.857 0.857 0.857
Ni 0.083 0.588 0.588
Ni 0.333 0.333 0.333
Ni 0.412 0.412 0.917
Ni 0.412 0.917 0.412
Ni 0.500 0.500 0.500
Ni 0.588 0.083 0.588
Ni 0.588 0.588 0.083
Ni 0.667 0.667 0.667
Ni 0.917 0.412 0.412

Properties
The total moment comes out at 0.000 μB per atom. Its crystal system is trigonal. The energy relative to the elements is -0.297 eV/atom. Its symmetry is No. 166. The final energy is -0.522 Ry per atom.

Record 5
Computed, not measured: a geometry-optimized MnZnSN2 structure at the PBE level of DFT.

Unit cell a=3.556 b=3.556 c=5.202 alpha=90.00 beta=90.00 gamma=90.00
Atoms (fractional coordinates):
Mn 0.000 0.000 0.000
Zn 0.500 0.500 0.500
S 0.000 0.000 0.500
N 0.000 0.500 0.000
N 0.500 0.000 0.000

Properties
The total moment comes out at 0.000 μB per atom. Its crystal system is tetragonal. Its symmetry is No. 123. The final energy is -0.428 Ry per atom. The calculation puts the formation energy from raw total energies at 0.416 eV per atom.

Record 6
Computed, not measured: a geometry-optimized BaLiMgTl2 structure at the PBE level of DFT.

Unit cell a=7.019 b=7.019 c=7.019 alpha=138.31 beta=138.31 gamma=60.43
Atoms (fractional coordinates):
Ba 0.000 0.000 0.000
Li 0.250 0.750 0.500
Mg 0.750 0.250 0.500
Tl 0.375 0.375 0.000
Tl 0.625 0.625 0.000

Properties
The total moment comes out at 0.000 μB per atom. Its crystal system is tetragonal. The energy relative to the elements is -0.252 eV/atom. Its symmetry is No. 119. The final energy is -0.168 Ry per atom.

Record 7
Computed, not measured: a geometry-optimized TbHo2In2Ag2 structure at the PBE level of DFT.

Unit cell a=9.289 b=9.289 c=9.289 alpha=30.22 beta=30.22 gamma=30.22
Atoms (fractional coordinates):
Tb 0.000 0.000 0.000
Ho 0.126 0.126 0.126
Ho 0.874 0.874 0.874
In 0.259 0.259 0.259
In 0.741 0.741 0.741
Ag 0.398 0.398 0.398
Ag 0.602 0.602 0.602

Properties
The total moment comes out at 0.000 μB per atom. Its crystal system is trigonal. The energy relative to the elements is -0.275 eV/atom. Its symmetry is No. 166. The final energy is -0.282 Ry per atom.

Record 8
Computed, not measured: a geometry-optimized ZrTe structure at the PBE level of DFT.

Unit cell a=4.042 b=6.701 c=6.701 alpha=113.36 beta=90.00 gamma=90.00
Atoms (fractional coordinates):
Zr 0.000 0.000 0.000
Zr 0.500 0.198 0.780
Zr 0.500 0.780 0.198
Te 0.000 0.536 0.870
Te 0.000 0.870 0.536
Te 0.500 0.278 0.278

Properties
The total moment comes out at 0.000 μB per atom. Its crystal system is orthorhombic. Its symmetry is No. 38. The final energy is -0.476 Ry per atom. The calculation puts the formation energy from raw total energies at -0.634 eV per atom.